Density functional theory data (GGA-PBE) for an optimized crystal structure of Mg2GaHgH.

Output
D(E_F)   0.2654 states/eV/atom
Final energy   -1.986 eV/atom

abc: 4.3701 4.3701 4.3787
angles: 90.00 90.00 90.00
With the nearest neighbours (Å) after each atom.
Element x y z (fractional)
Mg: 0.0000 0.5000 0.0000  2 H 2.19
Mg: 0.5000 0.0000 0.0000  2 H 2.19
Ga: 0.0000 0.0000 0.5000  2 H 2.19
Hg: 0.5000 0.5000 0.5000  4 Ga 3.09, 8 Mg 3.09
H: 0.0000 0.0000 0.0000  4 Mg 2.19, 2 Ga 2.19